1.
First-principles (PBE-GGA) data for crystalline RbSn3I12 at its relaxed geometry, as listed in the Alexandria database.

* total energy: -77.777 eV for the cell shown

a b c (Å): 14.6510 14.6510 9.7706
angles (deg): 90.00 90.00 120.00
Space group P6_3/m (No. 176)
Asymmetric unit:
Rb 0.3333 0.6667 0.2500 (multiplicity 2)
Sn 0.1004 0.3657 0.7500 (multiplicity 6)
I 0.0030 0.1484 0.7500 (multiplicity 6)
I 0.0257 0.5402 0.2500 (multiplicity 6)
I 0.2051 0.7678 0.5240 (multiplicity 12)

=====

2.
First-principles (PBE-GGA) data for crystalline RbSn4I8 at its relaxed geometry, as listed in the Alexandria database.

* total energy: -36.531 eV for the cell shown

a b c (Å): 9.480 9.580 10.114
angles (deg): 62.23 62.23 60.54
Space group P-1 (No. 2)
Asymmetric unit:
Rb 0.000 0.000 0.000 (multiplicity 1)
Sn 0.000 0.000 0.500 (multiplicity 1)
Sn 0.000 0.500 0.500 (multiplicity 1)
Sn 0.500 0.000 0.500 (multiplicity 1)
Sn 0.500 0.500 0.500 (multiplicity 1)
I 0.233 0.234 0.299 (multiplicity 2)
I 0.236 0.734 0.296 (multiplicity 2)
I 0.266 0.764 0.704 (multiplicity 2)
I 0.267 0.266 0.704 (multiplicity 2)